Density functional theory data (GGA+U) for a relaxed PrTaV2O8 crystal.

The structure in POSCAR format:
```
PrTaV2O8
1.0
4.8525 0.3420 0.2411
0.3943 4.8486 0.2393
0.3440 0.3429 6.8682
V O Ta Pr
2 8 1 1
Direct
0.4479 0.4479 0.7314
0.5521 0.5521 0.2686
0.3317 0.3317 0.5080
0.7855 0.2188 0.2167
0.7812 0.2144 0.7834
0.2653 0.2654 0.9473
0.2145 0.7812 0.7833
0.7347 0.7346 0.0527
0.6683 0.6683 0.4920
0.2188 0.7856 0.2166
0.0000 0.0000 0.0000
0.0000 0.0000 0.5000
```

Summary:
Symmetry = C2/m (12)
Energy = -100.70 eV/cell
Total moment = 2.000 μB per cell